Run A
Material: Mg2SiPd4
Method: DFT, PBE-GGA
State: relaxed

For the total magnetic moment, the calculation gives 0.0 μB per formula unit.

Lattice parameters (Å, degrees): 4.4807 4.4807 13.4079 90.00 90.00 90.00
With the nearest neighbours (Å) after each atom.
Space group I4/mmm (No. 139)
One atom of each set of equivalent atoms:
Mg 0.0000 0.0000 0.1302  5 Pd 2.64-2.84
Si 0.0000 0.0000 0.5000  6 Pd 2.24-2.32
Pd 0.0000 0.0000 0.3273  1 Si 2.32
Pd 0.0000 0.5000 0.0000  2 Si 2.24

Run B
Material: Mg2SiPd4
Method: DFT, PBE-GGA
State: relaxed

For the total magnetic moment, the calculation gives 0.0 μB per formula unit.

Lattice parameters (Å, degrees): 5.8110 5.8110 6.6612 90.00 90.00 90.00
With the nearest neighbours (Å) after each atom.
Space group I4/mmm (No. 139)
One atom of each set of equivalent atoms:
Mg 0.0000 0.5000 0.0000  8 Pd 2.64, 2 Si 2.91
Si 0.0000 0.0000 0.0000  8 Pd 2.64, 4 Mg 2.91
Pd 0.2500 0.2500 0.2500  2 Si 2.64, 4 Mg 2.64, 4 Pd 2.91

Quick one: most stable of them? run B

Run A
Material: MgSiPd6
Method: DFT, PBE-GGA
State: relaxed

For the total magnetic moment, the calculation gives 0.0 μB per formula unit.

Lattice parameters (Å, degrees): 4.7289 5.4859 5.5598 112.81 100.28 94.96
With the nearest neighbours (Å) after each atom.
Space group P-1 (No. 2)
One atom of each set of equivalent atoms:
Mg 0.0000 0.0000 0.0000  8 Pd 2.74-2.96
Si 0.5000 0.0000 0.5000  6 Pd 2.28-2.38
Pd 0.1225 0.2629 0.5574  1 Si 2.38
Pd 0.2844 0.5945 0.1355  1 Si 2.34
Pd 0.4271 0.7723 0.7570  1 Si 2.28

Run B
Material: MgSiPd6
Method: DFT, PBE-GGA
State: relaxed

For the total magnetic moment, the calculation gives 0.0 μB per formula unit.

Lattice parameters (Å, degrees): 14.6606 4.1125 4.1126 90.00 106.20 90.00
With the nearest neighbours (Å) after each atom.
Space group C2/m (No. 12)
One atom of each set of equivalent atoms:
Mg 0.0000 0.0000 0.0000  8 Pd 2.59
Si 0.0000 0.5000 0.5000  8 Pd 2.59
Pd 0.1113 0.0000 0.6105  2 Mg 2.59, 2 Si 2.59, 4 Pd 2.82-2.86
Pd 0.1113 0.5000 0.1106  2 Si 2.59, 2 Mg 2.59, 4 Pd 2.81-2.85
Pd 0.2480 0.5000 0.7479  12 Pd 2.81-2.91

Quick one: most stable of them? run B

Run A
Material: MgSiPd4
Method: DFT, PBE-GGA
State: relaxed

For the total magnetic moment, the calculation gives 0.0 μB per formula unit.

Lattice parameters (Å, degrees): 7.1433 4.1425 7.1786 90.00 109.39 90.00
With the nearest neighbours (Å) after each atom.
Space group C2/m (No. 12)
One atom of each set of equivalent atoms:
Mg 0.0000 0.0000 0.0000  8 Pd 2.59-2.66
Si 0.0000 0.5000 0.5000  8 Pd 2.39-2.50
Pd 0.1168 0.5000 0.8525  1 Si 2.39, 3 Mg 2.59
Pd 0.1308 0.0000 0.3922  3 Si 2.49-2.50, 1 Mg 2.66

Run B
Material: MgSiPd4
Method: DFT, PBE-GGA
State: relaxed

For the total magnetic moment, the calculation gives 0.0 μB per formula unit.

Lattice parameters (Å, degrees): 7.1313 2.9542 17.1387 90.00 90.00 90.00
With the nearest neighbours (Å) after each atom.
Space group Pnma (No. 62)
One atom of each set of equivalent atoms:
Mg 0.2112 0.2500 0.1866  9 Pd 2.66-2.87, 2 Mg 2.95
Si 0.2479 0.7500 0.4525  8 Pd 2.45-2.60
Pd 0.0175 0.7500 0.2876  4 Mg 2.66-2.67, 6 Pd 2.88-2.95
Pd 0.0290 0.7500 0.5697  3 Si 2.49-2.54, 1 Mg 2.73
Pd 0.1115 0.7500 0.0546  3 Si 2.50-2.60, 2 Mg 2.79
Pd 0.1619 0.7500 0.8452  2 Si 2.45, 1 Mg 2.72

Quick one: most stable of them? run B